A relaxed TmMgB crystal, computed with PBE.

Cell: 4.2598 4.2598 4.2598 Å, 60.00 60.00 60.00°
With the nearest neighbours (Å) after each atom.
Element x y z (fractional)
B: 0.0000 0.0000 0.0000  4 Mg 2.61, 4 Tm 2.61
Mg: 0.2500 0.2500 0.2500  4 B 2.61
Tm: 0.7500 0.7500 0.7500  4 B 2.61

Values from the calculation:
Crystal system: cubic
Excess energy over the best structure of this formula in the dataset, eV/f.u.: 0.00
Space group: F-43m, No. 216
VASP energy, eV/cell: -12.9

---

A relaxed TmMgB crystal, computed with PBE.

Cell: 4.4375 4.4375 4.4375 Å, 60.00 60.00 60.00°
With the nearest neighbours (Å) after each atom.
Element x y z (fractional)
B: 0.2500 0.2500 0.2500  4 Tm 2.72
Mg: 0.7500 0.7500 0.7500  4 Tm 2.72
Tm: 0.0000 0.0000 0.0000  4 Mg 2.72, 4 B 2.72

Values from the calculation:
Crystal system: cubic
Excess energy over the best structure of this formula in the dataset, eV/f.u.: 3.19
Space group: F-43m, No. 216
VASP energy, eV/cell: -9.7

---

A relaxed TmMgB4 crystal, computed with PBE.

Cell: 4.8715 4.8715 4.8715 Å, 141.89 112.33 80.40°
With the nearest neighbours (Å) after each atom.
Element x y z (fractional)
B: 0.5743 0.2453 0.3290  3 B 1.81-1.86
B: 0.0837 0.7547 0.3290  3 B 1.81-1.86
B: 0.9163 0.2453 0.6710  3 B 1.81-1.86
B: 0.4257 0.7547 0.6710  3 B 1.81-1.86
Mg: 0.0000 0.0000 0.0000  12 B 2.55-2.64
Tm: 0.5000 0.5000 0.0000  12 B 2.59-2.60

Values from the calculation:
Crystal system: orthorhombic
Excess energy over the best structure of this formula in the dataset, eV/f.u.: 0.00
Space group: Immm, No. 71
VASP energy, eV/cell: -35.0

---

A relaxed TmMgB crystal, computed with PBE.

Cell: 4.2864 4.2864 4.2864 Å, 60.00 60.00 60.00°
With the nearest neighbours (Å) after each atom.
Element x y z (fractional)
B: 0.2500 0.2500 0.2500  4 Mg 2.62
Mg: 0.0000 0.0000 0.0000  4 B 2.62, 4 Tm 2.62
Tm: 0.7500 0.7500 0.7500  4 Mg 2.62

Values from the calculation:
Crystal system: cubic
Excess energy over the best structure of this formula in the dataset, eV/f.u.: 2.71
Space group: F-43m, No. 216
VASP energy, eV/cell: -10.2

---

A relaxed MgUB crystal, computed with PBE.

Cell: 4.3288 4.3288 4.3288 Å, 60.00 60.00 60.00°
With the nearest neighbours (Å) after each atom.
Element x y z (fractional)
B: 0.2500 0.2500 0.2500  4 Mg 2.65
Mg: 0.0000 0.0000 0.0000  4 U 2.65, 4 B 2.65
U: 0.7500 0.7500 0.7500  4 Mg 2.65

Values from the calculation:
Crystal system: cubic
Excess energy over the best structure of this formula in the dataset, eV/f.u.: 2.87
Space group: F-43m, No. 216
VASP energy, eV/cell: -15.1

---

A relaxed MgUB crystal, computed with PBE.

Cell: 4.4736 4.4736 4.4736 Å, 60.00 60.00 60.00°
With the nearest neighbours (Å) after each atom.
Element x y z (fractional)
B: 0.2500 0.2500 0.2500  4 U 2.74
Mg: 0.7500 0.7500 0.7500  4 U 2.74
U: 0.0000 0.0000 0.0000  4 Mg 2.74, 4 B 2.74

Values from the calculation:
Crystal system: cubic
Excess energy over the best structure of this formula in the dataset, eV/f.u.: 3.09
Space group: F-43m, No. 216
VASP energy, eV/cell: -14.9

---

A relaxed MgUB crystal, computed with PBE.

Cell: 4.2794 4.2794 4.2794 Å, 60.00 60.00 60.00°
With the nearest neighbours (Å) after each atom.
Element x y z (fractional)
B: 0.0000 0.0000 0.0000  4 U 2.62, 4 Mg 2.62
Mg: 0.2500 0.2500 0.2500  4 B 2.62
U: 0.7500 0.7500 0.7500  4 B 2.62

Values from the calculation:
Crystal system: cubic
Excess energy over the best structure of this formula in the dataset, eV/f.u.: 0.00
Space group: F-43m, No. 216
VASP energy, eV/cell: -18.0

---

A relaxed MgB4W crystal, computed with PBE.

Cell: 4.5030 4.5030 4.5030 Å, 140.73 108.26 84.98°
With the nearest neighbours (Å) after each atom.
Element x y z (fractional)
B: 0.5906 0.2531 0.3375  3 B 1.72-1.77
B: 0.0844 0.7469 0.3375  3 B 1.72-1.77
B: 0.9156 0.2531 0.6625  3 B 1.72-1.77
B: 0.4094 0.7469 0.6625  3 B 1.72-1.77
Mg: 0.0000 0.0000 0.0000  12 B 2.39-2.45
W: 0.5000 0.5000 0.0000  12 B 2.42

Values from the calculation:
Crystal system: orthorhombic
Excess energy over the best structure of this formula in the dataset, eV/f.u.: 0.00
Space group: Immm, No. 71
VASP energy, eV/cell: -42.9

---

A relaxed MgBW crystal, computed with PBE.

Cell: 4.0514 4.0514 4.0514 Å, 60.00 60.00 60.00°
With the nearest neighbours (Å) after each atom.
Element x y z (fractional)
B: 0.2500 0.2500 0.2500  4 W 2.48
Mg: 0.7500 0.7500 0.7500  4 W 2.48
W: 0.0000 0.0000 0.0000  4 Mg 2.48, 4 B 2.48

Values from the calculation:
Crystal system: cubic
Excess energy over the best structure of this formula in the dataset, eV/f.u.: 2.97
Space group: F-43m, No. 216
VASP energy, eV/cell: -16.3

---

A relaxed MgBW2 crystal, computed with PBE.

Cell: 4.3031 4.3031 4.3031 Å, 60.00 60.00 60.00°
With the nearest neighbours (Å) after each atom.
Element x y z (fractional)
B: 0.5000 0.5000 0.5000  4 W 2.64, 4 Mg 2.64
Mg: 0.2500 0.2500 0.2500  4 B 2.64, 4 W 2.64
W: 0.0000 0.0000 0.0000  4 W 2.64, 4 Mg 2.64
W: 0.7500 0.7500 0.7500  4 B 2.64, 4 W 2.64

Values from the calculation:
Crystal system: cubic
Space group: F-43m, No. 216
VASP energy, eV/cell: -31.0

---

A relaxed MgB4W crystal, computed with PBE.

Cell: 3.0001 3.0001 6.9974 Å, 90.00 90.00 120.00°
With the nearest neighbours (Å) after each atom.
Element x y z (fractional)
B: 0.6667 0.3333 0.2565  3 B 1.73
B: 0.3333 0.6667 0.2565  3 B 1.73
B: 0.6667 0.3333 0.7435  3 B 1.73
B: 0.3333 0.6667 0.7435  3 B 1.73
Mg: 0.0000 0.0000 0.0000  12 B 2.49
W: 0.0000 0.0000 0.5000  12 B 2.43

Values from the calculation:
Crystal system: hexagonal
Excess energy over the best structure of this formula in the dataset, eV/f.u.: 0.20
Space group: P6/mmm, No. 191
VASP energy, eV/cell: -42.7

---

A relaxed MgB4W crystal, computed with PBE.

Cell: 6.0835 11.5226 3.3583 Å, 90.00 90.00 90.00°
With the nearest neighbours (Å) after each atom.
Element x y z (fractional)
B: 0.8717 0.0284 0.5000  3 B 1.69-1.86
B: 0.3784 0.0547 0.5000  3 B 1.80-1.94
B: 0.8053 0.1862 0.5000  3 B 1.72-1.93
B: 0.4896 0.2001 0.5000  3 B 1.72-1.93
B: 0.9896 0.2999 0.5000  3 B 1.72-1.93
B: 0.3053 0.3138 0.5000  3 B 1.72-1.93
B: 0.8784 0.4453 0.5000  3 B 1.80-1.94
B: 0.3717 0.4716 0.5000  3 B 1.69-1.86
B: 0.6283 0.5284 0.5000  3 B 1.69-1.86
B: 0.1216 0.5547 0.5000  3 B 1.80-1.94
B: 0.6947 0.6862 0.5000  3 B 1.72-1.93
B: 0.0104 0.7001 0.5000  3 B 1.72-1.93
B: 0.5104 0.7999 0.5000  3 B 1.72-1.93
B: 0.1947 0.8138 0.5000  3 B 1.72-1.93
B: 0.6216 0.9453 0.5000  3 B 1.80-1.94
B: 0.1283 0.9716 0.5000  3 B 1.69-1.86
Mg: 0.1178 0.1503 0.0000  12 B 2.53-2.77
Mg: 0.6178 0.3497 0.0000  12 B 2.53-2.77
Mg: 0.3822 0.6503 0.0000  12 B 2.53-2.77
Mg: 0.8822 0.8497 0.0000  12 B 2.53-2.77
W: 0.6360 0.0865 0.0000  10 B 2.28-2.34
W: 0.1360 0.4135 0.0000  10 B 2.28-2.34
W: 0.8640 0.5865 0.0000  10 B 2.28-2.34
W: 0.3640 0.9135 0.0000  10 B 2.28-2.34

Values from the calculation:
Crystal system: orthorhombic
Excess energy over the best structure of this formula in the dataset, eV/f.u.: 0.81
Space group: Pbam, No. 55
VASP energy, eV/cell: -168.3

---

A relaxed Mg2BW crystal, computed with PBE.

Cell: 4.3206 4.3206 4.3206 Å, 60.00 60.00 60.00°
With the nearest neighbours (Å) after each atom.
Element x y z (fractional)
B: 0.5000 0.5000 0.5000  4 Mg 2.65, 4 W 2.65
Mg: 0.0000 0.0000 0.0000  4 W 2.65, 4 Mg 2.65
Mg: 0.7500 0.7500 0.7500  4 Mg 2.65, 4 B 2.65
W: 0.2500 0.2500 0.2500  4 Mg 2.65, 4 B 2.65

Values from the calculation:
Crystal system: cubic
Space group: F-43m, No. 216
VASP energy, eV/cell: -18.7

---

A relaxed MgBW crystal, computed with PBE.

Cell: 3.8593 3.8593 3.8593 Å, 60.00 60.00 60.00°
With the nearest neighbours (Å) after each atom.
Element x y z (fractional)
B: 0.0000 0.0000 0.0000  4 Mg 2.36, 4 W 2.36
Mg: 0.2500 0.2500 0.2500  4 B 2.36
W: 0.7500 0.7500 0.7500  4 B 2.36

Values from the calculation:
Crystal system: cubic
Excess energy over the best structure of this formula in the dataset, eV/f.u.: 0.00
Space group: F-43m, No. 216
VASP energy, eV/cell: -19.3

---

A relaxed Mg2ZnB crystal, computed with PBE.

Cell: 4.4021 4.4021 4.4021 Å, 60.00 60.00 60.00°
With the nearest neighbours (Å) after each atom.
Element x y z (fractional)
B: 0.5000 0.5000 0.5000  4 Mg 2.70, 4 Zn 2.70
Mg: 0.0000 0.0000 0.0000  4 Mg 2.70, 4 Zn 2.70
Mg: 0.7500 0.7500 0.7500  4 B 2.70, 4 Mg 2.70
Zn: 0.2500 0.2500 0.2500  4 Mg 2.70, 4 B 2.70

Values from the calculation:
Crystal system: cubic
Space group: F-43m, No. 216
VASP energy, eV/cell: -8.3

---

A relaxed MgZnB crystal, computed with PBE.

Cell: 4.0834 4.0834 4.0834 Å, 60.00 60.00 60.00°
With the nearest neighbours (Å) after each atom.
Element x y z (fractional)
B: 0.2500 0.2500 0.2500  4 Mg 2.50
Mg: 0.0000 0.0000 0.0000  4 Zn 2.50, 4 B 2.50
Zn: 0.7500 0.7500 0.7500  4 Mg 2.50

Values from the calculation:
Crystal system: cubic
Excess energy over the best structure of this formula in the dataset, eV/f.u.: 2.20
Space group: F-43m, No. 216
VASP energy, eV/cell: -6.4

---

A relaxed MgZnB crystal, computed with PBE.

Cell: 3.8826 3.8826 3.8826 Å, 60.00 60.00 60.00°
With the nearest neighbours (Å) after each atom.
Element x y z (fractional)
B: 0.0000 0.0000 0.0000  4 Zn 2.38, 4 Mg 2.38
Mg: 0.2500 0.2500 0.2500  4 B 2.38
Zn: 0.7500 0.7500 0.7500  4 B 2.38

Values from the calculation:
Crystal system: cubic
Excess energy over the best structure of this formula in the dataset, eV/f.u.: 0.00
Space group: F-43m, No. 216
VASP energy, eV/cell: -8.6

---

A relaxed MgZr2B crystal, computed with PBE.

Cell: 4.6464 4.6464 4.6464 Å, 60.00 60.00 60.00°
With the nearest neighbours (Å) after each atom.
Element x y z (fractional)
B: 0.5000 0.5000 0.5000  4 Mg 2.85, 4 Zr 2.85
Mg: 0.2500 0.2500 0.2500  4 Zr 2.85, 4 B 2.85
Zr: 0.0000 0.0000 0.0000  4 Mg 2.85, 4 Zr 2.85
Zr: 0.7500 0.7500 0.7500  4 B 2.85, 4 Zr 2.85

Values from the calculation:
Crystal system: cubic
Space group: F-43m, No. 216
VASP energy, eV/cell: -21.9

---

A relaxed Mg2ZrB6 crystal, computed with PBE.

Cell: 9.1671 11.3758 3.6428 Å, 90.00 90.00 90.00°
With the nearest neighbours (Å) after each atom.
Element x y z (fractional)
B: 0.0921 0.0259 0.5000  3 B 1.75-1.79
B: 0.5496 0.0615 0.5000  2 B 1.67-1.84
B: 0.7623 0.0755 0.5000  3 B 1.76-1.96
B: 0.1263 0.1775 0.5000  3 B 1.75-1.88
B: 0.4738 0.2116 0.5000  3 B 1.70-1.88
B: 0.7977 0.2413 0.5000  2 B 1.70-1.82
B: 0.2977 0.2587 0.5000  2 B 1.70-1.82
B: 0.9738 0.2884 0.5000  3 B 1.70-1.88
B: 0.6263 0.3225 0.5000  3 B 1.75-1.88
B: 0.2623 0.4245 0.5000  3 B 1.76-1.96
B: 0.0496 0.4385 0.5000  2 B 1.67-1.84
B: 0.5921 0.4741 0.5000  3 B 1.75-1.79
B: 0.4079 0.5259 0.5000  3 B 1.75-1.79
B: 0.9504 0.5615 0.5000  2 B 1.67-1.84
B: 0.7377 0.5755 0.5000  3 B 1.76-1.96
B: 0.3737 0.6775 0.5000  3 B 1.75-1.88
B: 0.0262 0.7116 0.5000  3 B 1.70-1.88
B: 0.7023 0.7413 0.5000  2 B 1.70-1.82
B: 0.2023 0.7587 0.5000  2 B 1.70-1.82
B: 0.5262 0.7884 0.5000  3 B 1.70-1.88
B: 0.8737 0.8225 0.5000  3 B 1.75-1.88
B: 0.2377 0.9245 0.5000  3 B 1.76-1.96
B: 0.4504 0.9385 0.5000  2 B 1.67-1.84
B: 0.9079 0.9741 0.5000  3 B 1.75-1.79
Mg: 0.3116 0.0892 0.0000  14 B 2.66-2.86
Mg: 0.9478 0.1200 0.0000  12 B 2.49-2.67
Mg: 0.4478 0.3800 0.0000  12 B 2.49-2.67
Mg: 0.8116 0.4108 0.0000  14 B 2.66-2.86
Mg: 0.1884 0.5892 0.0000  14 B 2.66-2.86
Mg: 0.5522 0.6200 0.0000  12 B 2.49-2.67
Mg: 0.0522 0.8800 0.0000  12 B 2.49-2.67
Mg: 0.6884 0.9108 0.0000  14 B 2.66-2.86
Zr: 0.6406 0.1776 0.0000  10 B 2.40-2.46
Zr: 0.1406 0.3224 0.0000  10 B 2.40-2.46
Zr: 0.8594 0.6776 0.0000  10 B 2.40-2.46
Zr: 0.3594 0.8224 0.0000  10 B 2.40-2.46

Values from the calculation:
Crystal system: orthorhombic
Space group: Pbam, No. 55
VASP energy, eV/cell: -211.7

---

A relaxed MgZrB crystal, computed with PBE.

Cell: 4.0860 4.0860 4.0860 Å, 60.00 60.00 60.00°
With the nearest neighbours (Å) after each atom.
Element x y z (fractional)
B: 0.0000 0.0000 0.0000  4 Zr 2.50, 4 Mg 2.50
Mg: 0.2500 0.2500 0.2500  4 B 2.50
Zr: 0.7500 0.7500 0.7500  4 B 2.50

Values from the calculation:
Crystal system: cubic
Excess energy over the best structure of this formula in the dataset, eV/f.u.: 0.00
Space group: F-43m, No. 216
VASP energy, eV/cell: -17.0